# 1
ThGaRh2 | PBE | relaxed

The value obtained for the formation energy is -886 meV per atom. The magnetic moment is 0.0 μB per formula unit.

a b c (Å): 5.900 7.023 7.179
angles (deg): 90.00 90.00 90.00
Element x y z (fractional)
Rh 0.591 0.042 0.690
Rh 0.091 0.958 0.810
Rh 0.591 0.458 0.690
Th 0.847 0.750 0.474
Ga 0.847 0.250 0.892
Ga 0.347 0.750 0.608
Rh 0.409 0.542 0.310
Rh 0.409 0.958 0.310
Th 0.653 0.750 0.974
Rh 0.091 0.542 0.810
Rh 0.909 0.042 0.190
Th 0.347 0.250 0.026
Rh 0.909 0.458 0.190
Ga 0.653 0.250 0.392
Ga 0.153 0.750 0.108
Th 0.153 0.250 0.526



# 2
Th2Ga5Rh3 | PBE | relaxed

The value obtained for the formation energy is -805 meV per atom. The magnetic moment is 0.0 μB per formula unit.

a b c (Å): 5.768 8.674 8.674
angles (deg): 71.95 70.58 70.58
Element x y z (fractional)
Ga 0.956 0.794 0.794
Ga 0.409 0.258 0.925
Th 0.361 0.862 0.416
Rh 0.648 0.450 0.254
Th 0.139 0.584 0.138
Rh 0.750 0.000 0.000
Ga 0.091 0.075 0.742
Rh 0.148 0.254 0.450
Ga 0.044 0.206 0.206
Th 0.639 0.138 0.584
Rh 0.352 0.550 0.746
Th 0.861 0.416 0.862
Ga 0.909 0.925 0.258
Ga 0.591 0.742 0.075
Rh 0.250 0.000 0.000
Ga 0.456 0.794 0.794
Ga 0.750 0.500 0.500
Rh 0.852 0.746 0.550
Ga 0.544 0.206 0.206
Ga 0.250 0.500 0.500



# 3
ThGaRh2 | PBE | relaxed

The value obtained for the formation energy is -728 meV per atom. The magnetic moment is 0.0 μB per formula unit.

a b c (Å): 3.826 4.411 4.411
angles (deg): 90.00 90.00 90.00
Element x y z (fractional)
Th 0.500 0.500 0.500
Ga 0.500 0.000 0.000
Rh 0.000 0.500 0.000
Rh 0.000 0.000 0.500



# 4
ThGa2Rh4 | PBE | relaxed

The value obtained for the formation energy is -695 meV per atom. The magnetic moment is 0.0 μB per formula unit.

a b c (Å): 8.481 5.541 5.727
angles (deg): 118.93 90.00 90.00
Element x y z (fractional)
Th 0.000 0.000 0.000
Rh 0.250 0.000 0.500
Rh 0.305 0.000 0.000
Ga 0.000 0.310 0.620
Rh 0.750 0.500 0.500
Rh 0.250 0.500 0.500
Th 0.500 0.500 0.000
Ga 0.500 0.190 0.380
Rh 0.750 0.000 0.500
Rh 0.695 0.000 0.000
Rh 0.805 0.500 0.000
Rh 0.195 0.500 0.000
Ga 0.500 0.810 0.620
Ga 0.000 0.690 0.380



# 5
Th2Ga12Rh | PBE | relaxed

The value obtained for the formation energy is -418 meV per atom. The magnetic moment is 0.0 μB per formula unit.

a b c (Å): 6.134 6.134 15.495
angles (deg): 90.00 90.00 90.00
Element x y z (fractional)
Ga 0.000 0.000 0.813
Ga 0.500 0.500 0.345
Th 0.500 0.000 0.243
Rh 0.000 0.500 0.000
Ga 0.250 0.250 0.087
Ga 0.332 0.832 0.430
Ga 0.500 0.500 0.813
Ga 0.500 0.500 0.187
Th 0.000 0.500 0.243
Ga 0.750 0.750 0.087
Ga 0.000 0.000 0.655
Ga 0.168 0.668 0.570
Ga 0.250 0.750 0.087
Ga 0.668 0.168 0.430
Ga 0.750 0.250 0.087
Ga 0.168 0.332 0.430
Ga 0.750 0.750 0.913
Ga 0.250 0.250 0.913
Ga 0.500 0.500 0.655
Ga 0.000 0.000 0.345
Ga 0.250 0.750 0.913
Ga 0.000 0.000 0.187
Ga 0.750 0.250 0.913
Rh 0.500 0.000 0.000
Ga 0.668 0.832 0.570
Th 0.000 0.500 0.757
Ga 0.332 0.168 0.570
Ga 0.832 0.668 0.430
Th 0.500 0.000 0.757
Ga 0.832 0.332 0.570



# 6
Th2Ga3Rh4 | PBE | relaxed

The value obtained for the formation energy is -894 meV per atom. The magnetic moment is 0.0 μB per formula unit.

a b c (Å): 5.804 7.123 8.475
angles (deg): 90.00 110.02 90.00
Element x y z (fractional)
Rh 0.818 0.250 0.137
Rh 0.674 0.533 0.348
Th 0.890 0.416 0.780
Th 0.390 0.084 0.780
Ga 0.522 0.750 0.543
Ga 0.978 0.250 0.457
Ga 0.500 0.500 0.000
Ga 0.022 0.750 0.543
Rh 0.682 0.750 0.863
Rh 0.326 0.467 0.652
Ga 0.478 0.250 0.457
Rh 0.826 0.033 0.652
Rh 0.182 0.750 0.863
Th 0.610 0.916 0.220
Rh 0.318 0.250 0.137
Th 0.110 0.584 0.220
Rh 0.174 0.967 0.348
Ga 0.000 0.000 0.000



# 7
ThGa4Rh2 | PBE | relaxed

The value obtained for the formation energy is -692 meV per atom. The magnetic moment is 0.0 μB per formula unit.

a b c (Å): 4.364 6.588 17.400
angles (deg): 90.00 90.00 90.00
Element x y z (fractional)
Rh 0.750 0.482 0.716
Rh 0.750 0.018 0.216
Rh 0.750 0.241 0.463
Ga 0.750 0.716 0.311
Th 0.750 0.991 0.639
Ga 0.750 0.831 0.465
Ga 0.250 0.818 0.185
Ga 0.250 0.498 0.429
Th 0.250 0.491 0.861
Rh 0.250 0.741 0.037
Rh 0.250 0.518 0.284
Ga 0.250 0.216 0.189
Rh 0.750 0.259 0.963
Rh 0.250 0.759 0.537
Ga 0.250 0.682 0.685
Ga 0.750 0.998 0.071
Ga 0.750 0.784 0.811
Th 0.250 0.009 0.361
Rh 0.250 0.982 0.784
Ga 0.250 0.331 0.035
Ga 0.750 0.669 0.965
Ga 0.750 0.502 0.571
Ga 0.750 0.182 0.815
Ga 0.250 0.002 0.929
Ga 0.750 0.318 0.315
Th 0.750 0.509 0.139
Ga 0.250 0.284 0.689
Ga 0.250 0.169 0.535



# 8
Th4GaRh12 | PBE | relaxed

The value obtained for the formation energy is -757 meV per atom. The magnetic moment is 0.0 μB per formula unit.

a b c (Å): 7.320 7.320 7.320
angles (deg): 109.47 109.47 109.47
Element x y z (fractional)
Rh 0.000 0.286 0.286
Th 0.000 0.500 0.000
Rh 0.286 0.000 0.286
Rh 0.250 0.500 0.750
Rh 0.750 0.250 0.500
Rh 0.250 0.750 0.500
Ga 0.000 0.000 0.000
Th 0.500 0.500 0.500
Th 0.500 0.000 0.000
Rh 0.000 0.714 0.714
Rh 0.500 0.250 0.750
Rh 0.500 0.750 0.250
Th 0.000 0.000 0.500
Rh 0.714 0.714 0.000
Rh 0.750 0.500 0.250
Rh 0.286 0.286 0.000
Rh 0.714 0.000 0.714